An optimized crystal structure of Ta3NbSn. Source: the Alexandria database, functional PBE.

Values from the calculation:
- DOS at the Fermi energy: 4.1 states/eV/f.u.
- Final energy: -0.717 Ry/atom
- Space-group type: C2/c
- Total magnetic moment: 0.0 Bohr magnetons per cell
- Excess energy over the best structure of this formula in the dataset: 162 meV per atom

Unit cell a=8.431 b=8.431 c=5.713 alpha=100.41 beta=100.41 gamma=84.02
Sites, in units of the cell vectors:
Ta1 0.059 0.684 0.000
Ta2 0.139 0.500 0.387
Ta3 0.234 0.376 0.883
Ta4 0.316 0.941 0.500
Ta5 0.376 0.234 0.383
Ta6 0.500 0.139 0.887
Ta7 0.500 0.861 0.113
Ta8 0.624 0.766 0.617
Ta9 0.684 0.059 0.500
Ta10 0.766 0.624 0.117
Ta11 0.861 0.500 0.613
Ta12 0.941 0.316 0.000
Nb1 0.308 0.692 0.750
Nb2 0.433 0.567 0.250
Nb3 0.567 0.433 0.750
Nb4 0.692 0.308 0.250
Sn1 0.029 0.187 0.484
Sn2 0.187 0.029 0.984
Sn3 0.813 0.971 0.016
Sn4 0.971 0.813 0.516